Entry from Alexandria via LeMat-Bulk: a crystal of Sc2AsSe relaxed with PBEsol (SCAN).

- total magnetization (Bohr magnetons per cell) = 1.787
- excess energy over the best structure of this formula in the dataset (meV/atom) = 572.3
- formation energy without anion corrections (eV per atom) = -1.15

Cell: 3.769 3.769 11.255 Å, 90.00 90.00 90.00°
Space group I-4m2 (No. 119)
One atom of each set of equivalent atoms:
1 Sc 0.000 0.000 0.000 (multiplicity 2)
2 Sc 0.000 0.500 0.250 (multiplicity 2)
3 As 0.000 0.500 0.750 (multiplicity 2)
4 Se 0.000 0.000 0.500 (multiplicity 2)